A plane-wave DFT calculation with PBE with a Hubbard U was carried out for a relaxed structure of AcTlW2O8.

Cell and atoms, written as CIF:
```
data_AcTlW2O8
_space_group_name_H-M_alt 'R 3 2'
_space_group_IT_number 155
_space_group_name_Hall 'R 3 2"'
_cell_length_a 5.7738
_cell_length_b 5.7738
_cell_length_c 25.5814
_cell_angle_alpha 90.00
_cell_angle_beta 90.00
_cell_angle_gamma 120.00
loop_
_atom_site_label
_atom_site_type_symbol
_atom_site_fract_x
_atom_site_fract_y
_atom_site_fract_z
_atom_site_occupancy
Ac1 Ac 0.0000 0.0000 0.0000 1
Tl1 Tl 0.0000 0.0000 0.5000 1
W1 W 0.0000 0.0000 0.2480 1
O1 O 0.0000 0.0000 0.1782 1
O2 O 0.0165 0.3055 0.7276 1
```

Calculated values
E: -258.94 eV per cell
Total moment: 0.00 μB per atom